Entry 1:
Density functional theory data (PBE) for a geometry-optimized TbHoGa2Pt4 structure.

## Properties
* E above lowest polymorph: 0.000 eV per atom
* magnetic moment: 0.0 μB/cell

Cell lengths 4.3871, 4.3871, 9.1083 Å; angles 90.00, 90.00, 120.00 degrees
Space group P-6m2 (No. 187)
Inequivalent atoms, fractional coordinates:
Tb  0.0000  0.0000  0.0000 [1 per cell]
Ho  0.3333  0.6667  0.5000 [1 per cell]
Ga  0.6667  0.3333  0.2504 [2 per cell]
Pt  0.0000  0.0000  0.3370 [2 per cell]
Pt  0.3333  0.6667  0.1660 [2 per cell]

Entry 2:
Density functional theory data (PBE) for a geometry-optimized TbHoGa4Pt2 structure.

## Properties
* magnetic moment: 0.0 μB/cell
* calculated total energy: -0.37544 Ry per atom

Cell lengths 6.7093, 4.3714, 10.1655 Å; angles 90.00, 90.00, 90.00 degrees
Space group Amm2 (No. 38)
Inequivalent atoms, fractional coordinates:
Tb  0.0000  0.0000  0.0000 [2 per cell]
Ho  0.5000  0.0000  0.1702 [2 per cell]
Ga  0.1980  0.0000  0.7142 [4 per cell]
Ga  0.3028  0.0000  0.4551 [4 per cell]
Pt  0.0000  0.0000  0.2890 [2 per cell]
Pt  0.5000  0.0000  0.8809 [2 per cell]

Entry 3:
Density functional theory data (PBE) for a geometry-optimized TbHoGa2Pt4 structure.

## Properties
* E above lowest polymorph: 0.176 eV per atom
* magnetic moment: 0.0 μB/cell

Cell lengths 4.7008, 4.7008, 6.6496 Å; angles 90.00, 90.00, 90.00 degrees
Space group P4/mmm (No. 123)
Inequivalent atoms, fractional coordinates:
Tb  0.0000  0.0000  0.0000 [1 per cell]
Ho  0.5000  0.5000  0.5000 [1 per cell]
Ga  0.0000  0.0000  0.5000 [1 per cell]
Ga  0.5000  0.5000  0.0000 [1 per cell]
Pt  0.0000  0.5000  0.2517 [4 per cell]